Crystalline CaAl4Ga2 at its relaxed geometry, computed with PBE. Values from VASP.

The structure in Quantum ESPRESSO input format:
```
&SYSTEM
  ibrav = 0, nat = 14, ntyp = 3
/
ATOMIC_SPECIES
Ca 40.08 Ca.upf
Al 26.98 Al.upf
Ga 69.72 Ga.upf
ATOMIC_POSITIONS angstrom
Ca 0.000 0.000 0.000
Ca 2.094 7.672 0.000
Al 0.000 2.828 2.093
Al 0.000 4.764 0.000
Al 0.000 10.580 0.000
Al 0.000 12.516 2.093
Al 2.094 2.908 0.000
Al 2.094 4.844 2.093
Al 2.094 10.501 2.093
Al 2.094 12.437 0.000
Ga 0.000 6.423 2.093
Ga 0.000 8.922 2.093
Ga 2.094 1.250 2.093
Ga 2.094 14.095 2.093
CELL_PARAMETERS angstrom
4.188 0.000 0.000
0.000 15.345 0.000
0.000 0.000 4.186
```

Calculated values
E_form   -0.199 eV/atom
SG   Cmmm
Total moment   0.0 μB per formula unit
Crystal system   orthorhombic
Electronic total energy   -3.488 eV/atom